No. 1
The following is a DFT calculation (PBE) of a geometry-optimized Sc4BiTe2 structure.

- magnetic moment (μB/atom) = 0.000
- DFT total energy (eV/atom) = -5.83
- space-group type = No. 98
- V (Å³ per cell) = 373.6

a = 7.860 Å, b = 7.860 Å, c = 7.860 Å
α = 108.75°, β = 108.75°, γ = 110.93°
Element x y z (fractional)
1 Sc 0.122 0.247 0.745
2 Sc 0.127 0.372 0.375
3 Sc 0.248 0.003 0.375
4 Sc 0.502 0.377 0.255
5 Sc 0.623 0.498 0.745
6 Sc 0.628 0.873 0.625
7 Sc 0.753 0.878 0.255
8 Sc 0.997 0.752 0.625
9 Bi 0.000 0.000 0.000
10 Bi 0.750 0.250 0.500
11 Te 0.322 0.625 0.197
12 Te 0.375 0.678 0.803
13 Te 0.428 0.125 0.803
14 Te 0.875 0.572 0.197

***

No. 2
The following is a DFT calculation (PBE) of a geometry-optimized Sc2BiTe2 structure.

- magnetic moment (μB/atom) = 0.000
- relative energy among the computed polymorphs (meV/atom) = 34.4
- space-group type = No. 127
- V (Å³ per cell) = 256.9

a = 8.293 Å, b = 8.293 Å, c = 3.736 Å
α = 90.00°, β = 90.00°, γ = 90.00°
Element x y z (fractional)
1 Sc 0.151 0.349 0.000
2 Sc 0.349 0.849 0.000
3 Sc 0.651 0.151 0.000
4 Sc 0.849 0.651 0.000
5 Bi 0.000 0.000 0.000
6 Bi 0.500 0.500 0.000
7 Te 0.143 0.643 0.500
8 Te 0.357 0.143 0.500
9 Te 0.643 0.857 0.500
10 Te 0.857 0.357 0.500

***

No. 3
The following is a DFT calculation (PBE) of a geometry-optimized Sc3Bi2Te structure.

- magnetic moment (μB/atom) = 0.000
- DFT total energy (eV/atom) = -5.81
- space-group type = No. 70
- V (Å³ per cell) = 643.2

a = 14.052 Å, b = 13.398 Å, c = 7.326 Å
α = 79.51°, β = 69.65°, γ = 30.84°
Element x y z (fractional)
1 Sc 0.041 0.542 0.208
2 Sc 0.125 0.625 0.625
3 Sc 0.208 0.709 0.041
4 Sc 0.291 0.792 0.458
5 Sc 0.375 0.875 0.875
6 Sc 0.458 0.959 0.291
7 Sc 0.542 0.041 0.709
8 Sc 0.625 0.125 0.125
9 Sc 0.709 0.208 0.542
10 Sc 0.792 0.291 0.959
11 Sc 0.875 0.375 0.375
12 Sc 0.959 0.458 0.792
13 Bi 0.042 0.042 0.208
14 Bi 0.125 0.125 0.625
15 Bi 0.208 0.208 0.042
16 Bi 0.375 0.375 0.875
17 Bi 0.625 0.625 0.125
18 Bi 0.792 0.792 0.958
19 Bi 0.875 0.875 0.375
20 Bi 0.958 0.958 0.792
21 Te 0.292 0.292 0.458
22 Te 0.458 0.458 0.292
23 Te 0.542 0.542 0.708
24 Te 0.708 0.708 0.542

***

No. 4
The following is a DFT calculation (PBE) of a geometry-optimized ScBiTe structure.

- magnetic moment (μB/atom) = 0.000
- DFT total energy (eV/atom) = -5.17
- space-group type = No. 11
- V (Å³ per cell) = 181.1

a = 3.874 Å, b = 5.658 Å, c = 8.482 Å
α = 90.00°, β = 103.13°, γ = 90.00°
Element x y z (fractional)
1 Sc 0.194 0.250 0.388
2 Sc 0.806 0.750 0.612
3 Bi 0.457 0.750 0.914
4 Bi 0.543 0.250 0.086
5 Te 0.176 0.750 0.351
6 Te 0.824 0.250 0.649

***

No. 5
The following is a DFT calculation (PBE) of a geometry-optimized Sc3Bi2Te structure.

- magnetic moment (μB/atom) = 0.000
- DFT total energy (eV/atom) = -5.81
- space-group type = No. 12
- V (Å³ per cell) = 321.5

a = 7.331 Å, b = 7.331 Å, c = 7.324 Å
α = 99.59°, β = 99.59°, γ = 119.98°
Element x y z (fractional)
1 Sc 0.083 0.416 0.749
2 Sc 0.249 0.249 0.249
3 Sc 0.416 0.083 0.749
4 Sc 0.584 0.917 0.251
5 Sc 0.751 0.751 0.751
6 Sc 0.917 0.584 0.251
7 Bi 0.000 0.000 0.500
8 Bi 0.334 0.666 0.500
9 Bi 0.500 0.500 0.000
10 Bi 0.666 0.334 0.500
11 Te 0.167 0.833 0.000
12 Te 0.833 0.167 0.000

***

No. 6
The following is a DFT calculation (PBE) of a geometry-optimized Sc4BiTe3 structure.

- magnetic moment (μB/atom) = 0.000
- DFT total energy (eV/atom) = -5.66
- space-group type = No. 59
- V (Å³ per cell) = 480.5

a = 5.857 Å, b = 9.541 Å, c = 8.598 Å
α = 90.00°, β = 90.00°, γ = 90.00°
Element x y z (fractional)
1 Sc 0.250 0.050 0.153
2 Sc 0.250 0.250 0.755
3 Sc 0.250 0.450 0.153
4 Sc 0.250 0.750 0.601
5 Sc 0.750 0.250 0.399
6 Sc 0.750 0.550 0.847
7 Sc 0.750 0.750 0.245
8 Sc 0.750 0.950 0.847
9 Bi 0.250 0.750 0.252
10 Bi 0.750 0.250 0.748
11 Te 0.250 0.250 0.415
12 Te 0.250 0.544 0.836
13 Te 0.250 0.956 0.836
14 Te 0.750 0.044 0.164
15 Te 0.750 0.456 0.164
16 Te 0.750 0.750 0.585

***

No. 7
The following is a DFT calculation (PBE) of a geometry-optimized Sc3BiTe structure.

- magnetic moment (μB/atom) = 0.716
- relative energy among the computed polymorphs (meV/atom) = 698.8
- space-group type = No. 221
- V (Å³ per cell) = 164.7

a = 5.481 Å, b = 5.481 Å, c = 5.481 Å
α = 90.00°, β = 90.00°, γ = 90.00°
Element x y z (fractional)
1 Sc 0.000 0.000 0.500
2 Sc 0.000 0.500 0.000
3 Sc 0.500 0.000 0.000
4 Bi 0.000 0.000 0.000
5 Te 0.500 0.500 0.500

***

No. 8
The following is a DFT calculation (PBE) of a geometry-optimized Sc4TlBiTe2 structure.

- magnetic moment (μB/atom) = 0.000
- DFT total energy (eV/atom) = -5.50
- space-group type = No. 10
- V (Å³ per cell) = 209.2

a = 7.299 Å, b = 4.119 Å, c = 7.346 Å
α = 90.00°, β = 108.64°, γ = 90.00°
Element x y z (fractional)
1 Sc 0.245 0.000 0.256
2 Sc 0.246 0.500 0.747
3 Sc 0.754 0.500 0.253
4 Sc 0.755 0.000 0.744
5 Tl 0.000 0.000 0.500
6 Bi 0.500 0.500 0.500
7 Te 0.000 0.500 0.000
8 Te 0.500 0.000 0.000

***

No. 9
The following is a DFT calculation (PBE) of a geometry-optimized ScTl3Bi2Te6 structure.

- magnetic moment (μB/atom) = 0.000
- DFT total energy (eV/atom) = -3.85
- space-group type = No. 12
- V (Å³ per cell) = 419.1

a = 7.769 Å, b = 7.769 Å, c = 8.427 Å
α = 98.84°, β = 98.84°, γ = 120.02°
Element x y z (fractional)
1 Sc 0.000 0.000 0.000
2 Tl 0.172 0.828 0.500
3 Tl 0.500 0.500 0.500
4 Tl 0.828 0.172 0.500
5 Bi 0.334 0.666 0.000
6 Bi 0.666 0.334 0.000
7 Te 0.071 0.387 0.213
8 Te 0.244 0.244 0.786
9 Te 0.387 0.071 0.213
10 Te 0.613 0.929 0.787
11 Te 0.756 0.756 0.214
12 Te 0.929 0.613 0.787

***

No. 10
The following is a DFT calculation (PBE) of a geometry-optimized Sc2Tl2BiTe6 structure.

- magnetic moment (μB/atom) = 0.000
- DFT total energy (eV/atom) = -4.34
- space-group type = No. 12
- V (Å³ per cell) = 382.4

a = 7.566 Å, b = 7.566 Å, c = 8.234 Å
α = 98.98°, β = 98.98°, γ = 121.17°
Element x y z (fractional)
1 Sc 0.177 0.823 0.000
2 Sc 0.823 0.177 0.000
3 Tl 0.348 0.652 0.500
4 Tl 0.652 0.348 0.500
5 Bi 0.500 0.500 0.000
6 Te 0.074 0.424 0.780
7 Te 0.205 0.205 0.201
8 Te 0.424 0.074 0.780
9 Te 0.576 0.926 0.220
10 Te 0.795 0.795 0.799
11 Te 0.926 0.576 0.220

***

No. 11
The following is a DFT calculation (PBE) of a geometry-optimized Sc2Tl3BiTe6 structure.

- magnetic moment (μB/atom) = 0.000
- DFT total energy (eV/atom) = -4.26
- space-group type = No. 12
- V (Å³ per cell) = 402.2

a = 7.575 Å, b = 7.575 Å, c = 8.479 Å
α = 98.57°, β = 98.57°, γ = 120.01°
Element x y z (fractional)
1 Sc 0.168 0.832 0.000
2 Sc 0.832 0.168 0.000
3 Tl 0.000 0.000 0.500
4 Tl 0.339 0.661 0.500
5 Tl 0.661 0.339 0.500
6 Bi 0.500 0.500 0.000
7 Te 0.080 0.430 0.792
8 Te 0.217 0.217 0.205
9 Te 0.430 0.080 0.792
10 Te 0.570 0.920 0.208
11 Te 0.783 0.783 0.795
12 Te 0.920 0.570 0.208

***

No. 12
The following is a DFT calculation (PBE) of a geometry-optimized Sc3Tl4BiTe8 structure.

- magnetic moment (μB/atom) = 0.000
- DFT total energy (eV/atom) = -4.36
- space-group type = No. 166
- V (Å³ per cell) = 530.9

a = 9.521 Å, b = 9.521 Å, c = 9.521 Å
α = 54.42°, β = 54.42°, γ = 54.42°
Element x y z (fractional)
1 Sc 0.000 0.500 0.500
2 Sc 0.500 0.000 0.500
3 Sc 0.500 0.500 0.000
4 Tl 0.000 0.000 0.500
5 Tl 0.000 0.500 0.000
6 Tl 0.500 0.000 0.000
7 Tl 0.500 0.500 0.500
8 Bi 0.000 0.000 0.000
9 Te 0.244 0.244 0.720
10 Te 0.244 0.720 0.244
11 Te 0.266 0.266 0.266
12 Te 0.280 0.756 0.756
13 Te 0.720 0.244 0.244
14 Te 0.734 0.734 0.734
15 Te 0.756 0.280 0.756
16 Te 0.756 0.756 0.280